Entry 1:
DFT (PBE) results for an optimized crystal structure of In4Bi2Pb5.

a b c (Å): 6.0217 5.9570 12.2995
angles (deg): 53.26 104.17 90.00
Atoms (fractional coordinates):
In  0.3144  0.4695  0.6287
In  0.9542  0.3651  0.9083
In  0.6856  0.5305  0.3713
In  0.0458  0.6349  0.0917
Bi  0.4084  0.7286  0.8168
Bi  0.5916  0.2714  0.1832
Pb  0.8704  0.0697  0.7407
Pb  0.1296  0.9303  0.2593
Pb  0.7723  0.8145  0.5445
Pb  0.5000  0.0000  0.0000
Pb  0.2277  0.1855  0.4555

- Distance to the lowest polymorph of the same formula: 0.000 eV/atom
- E_form: 0.05 eV/atom

---

Entry 2:
DFT (PBE) results for an optimized crystal structure of Mn2In2I.

a b c (Å): 8.8267 8.8267 3.0330
angles (deg): 90.00 90.00 90.00
Atoms (fractional coordinates):
I  0.0000  0.0000  0.0000
I  0.5000  0.5000  0.0000
Mn  0.1082  0.6082  0.5000
Mn  0.6082  0.8918  0.5000
Mn  0.8918  0.3918  0.5000
Mn  0.3918  0.1082  0.5000
In  0.3166  0.8166  0.0000
In  0.8166  0.6834  0.0000
In  0.6834  0.1834  0.0000
In  0.1834  0.3166  0.0000

- Distance to the lowest polymorph of the same formula: 0.138 eV/atom

---

Entry 3:
DFT (PBE) results for an optimized crystal structure of Th4Bi2TeRu.

a b c (Å): 4.3293 7.8393 7.8905
angles (deg): 108.14 90.00 90.00
Atoms (fractional coordinates):
Th  0.5000  0.2664  0.2279
Th  0.5000  0.7336  0.7721
Th  0.0000  0.2937  0.7944
Th  0.0000  0.7063  0.2056
Bi  0.5000  0.0000  0.5000
Bi  0.0000  0.5000  0.5000
Te  0.0000  0.0000  0.0000
Ru  0.5000  0.5000  0.0000

---

Entry 4:
DFT (PBE) results for an optimized crystal structure of BePt2Rh.

a b c (Å): 4.6130 4.9762 5.4176
angles (deg): 67.35 84.89 71.03
Atoms (fractional coordinates):
Be  0.3757  0.9314  0.8410
Be  0.6243  0.0686  0.1590
Rh  0.7392  0.5218  0.1369
Rh  0.2608  0.4782  0.8631
Pt  0.2891  0.3180  0.4283
Pt  0.7109  0.6820  0.5717
Pt  0.8437  0.0670  0.7619
Pt  0.1563  0.9330  0.2381

- E_form: -0.29 eV/atom

---

E? In order: -3.340 -4.605 -6.909 -6.076 eV/atom.